# HoCd5Hg6 | the Alexandria database | GGA-PBE | relaxed
# **Energy relative to the elements**: -9 kJ/mol of atoms
# **ΔE to the lowest computed polymorph**: 2.8 meV/atom
# **V**: 568.9 Å³/cell
# **VASP energy**: -1.01 eV per atom
data_HoCd5Hg6
_cell_length_a 4.748
_cell_length_b 14.773
_cell_length_c 8.113
_cell_angle_alpha 90.00
_cell_angle_beta 91.11
_cell_angle_gamma 90.00
_symmetry_space_group_name_H-M 'C 1 2/m 1'
_symmetry_Int_Tables_number 12
loop_
_symmetry_equiv_pos_as_xyz
'x,y,z'
'-x,-y,-z'
'-x,y,-z'
'x,-y,z'
'x+1/2,y+1/2,z'
'-x+1/2,-y+1/2,-z'
'-x+1/2,y+1/2,-z'
'x+1/2,-y+1/2,z'
loop_
_atom_site_label
_atom_site_fract_x
_atom_site_fract_y
_atom_site_fract_z
_atom_site_occupancy
Ho1 0.000 0.000 0.000 1
Cd1 0.000 0.000 0.500 1
Cd2 0.000 0.327 0.500 1
Cd3 0.000 0.336 0.000 1
Hg1 0.001 0.166 0.246 1
Hg2 0.003 0.500 0.262 1


# Ho6Cd3Hg | the Alexandria database | GGA-PBE | relaxed
# **Energy relative to the elements**: -24 kJ/mol of atoms
# **V**: 537.0 Å³/cell
# **VASP energy**: -3.30 eV per atom
data_Ho6Cd3Hg
_cell_length_a 9.240
_cell_length_b 5.286
_cell_length_c 11.594
_cell_angle_alpha 90.00
_cell_angle_beta 108.50
_cell_angle_gamma 90.00
_symmetry_space_group_name_H-M 'P 1 21/m 1'
_symmetry_Int_Tables_number 11
loop_
_symmetry_equiv_pos_as_xyz
'x,y,z'
'-x,-y,-z'
'-x,y+1/2,-z'
'x,-y+1/2,z'
loop_
_atom_site_label
_atom_site_fract_x
_atom_site_fract_y
_atom_site_fract_z
_atom_site_occupancy
Ho1 0.035 0.250 0.411 1
Ho2 0.159 0.750 0.176 1
Ho3 0.250 0.250 0.004 1
Ho4 0.345 0.750 0.813 1
Ho5 0.369 0.250 0.339 1
Ho6 0.395 0.250 0.626 1
Cd1 0.027 0.750 0.877 1
Cd2 0.113 0.250 0.717 1
Cd3 0.273 0.750 0.474 1
Hg1 0.449 0.750 0.103 1


# HoCd2Hg | the Alexandria database | GGA-PBE | relaxed
# **Energy relative to the elements**: -19 kJ/mol of atoms
# **ΔE to the lowest computed polymorph**: 106.2 meV/atom
# **V**: 370.7 Å³/cell
# **VASP energy**: -1.87 eV per atom
data_HoCd2Hg
_cell_length_a 7.184
_cell_length_b 7.184
_cell_length_c 7.184
_cell_angle_alpha 90.00
_cell_angle_beta 90.00
_cell_angle_gamma 90.00
_symmetry_space_group_name_H-M 'F m -3 m'
_symmetry_Int_Tables_number 225
_symmetry_space_group_name_Hall '-F 4 2 3'
loop_
_atom_site_label
_atom_site_fract_x
_atom_site_fract_y
_atom_site_fract_z
_atom_site_occupancy
Ho1 0.000 0.000 0.000 1
Cd1 0.250 0.250 0.250 1
Hg1 0.000 0.000 0.500 1


# HoCd14Hg | the Alexandria database | GGA-PBE | relaxed
# **Energy relative to the elements**: -4 kJ/mol of atoms
# **V**: 371.5 Å³/cell
# **VASP energy**: -1.15 eV per atom
data_HoCd14Hg
_cell_length_a 6.573
_cell_length_b 6.573
_cell_length_c 8.599
_cell_angle_alpha 90.00
_cell_angle_beta 90.00
_cell_angle_gamma 90.00
_symmetry_space_group_name_H-M 'P 4/m m m'
_symmetry_Int_Tables_number 123
_symmetry_space_group_name_Hall '-P 4 2'
loop_
_atom_site_label
_atom_site_fract_x
_atom_site_fract_y
_atom_site_fract_z
_atom_site_occupancy
Ho1 0.000 0.000 0.000 1
Cd1 0.000 0.000 0.500 1
Cd2 0.000 0.500 0.000 1
Cd3 0.000 0.500 0.500 1
Cd4 0.252 0.252 0.255 1
Cd5 0.500 0.500 0.500 1
Hg1 0.500 0.500 0.000 1


# Ho5CdHg4 | the Alexandria database | GGA-PBE | relaxed
# **Energy relative to the elements**: -43 kJ/mol of atoms
# **V**: 255.3 Å³/cell
# **VASP energy**: -2.95 eV per atom
data_Ho5CdHg4
_cell_length_a 3.706
_cell_length_b 3.706
_cell_length_c 18.588
_cell_angle_alpha 90.00
_cell_angle_beta 90.00
_cell_angle_gamma 90.00
_symmetry_space_group_name_H-M 'P 4/m m m'
_symmetry_Int_Tables_number 123
_symmetry_space_group_name_Hall '-P 4 2'
loop_
_atom_site_label
_atom_site_fract_x
_atom_site_fract_y
_atom_site_fract_z
_atom_site_occupancy
Ho1 0.000 0.000 0.000 1
Ho2 0.000 0.000 0.199 1
Ho3 0.000 0.000 0.398 1
Cd1 0.500 0.500 0.500 1
Hg1 0.500 0.500 0.100 1
Hg2 0.500 0.500 0.301 1


# Ho2CdHg2 | the Alexandria database | GGA-PBE | relaxed
# **Energy relative to the elements**: -39 kJ/mol of atoms
# **ΔE to the lowest computed polymorph**: 2.2 meV/atom
# **V**: 253.8 Å³/cell
# **VASP energy**: -2.53 eV per atom
data_Ho2CdHg2
_cell_length_a 8.072
_cell_length_b 8.072
_cell_length_c 3.895
_cell_angle_alpha 90.00
_cell_angle_beta 90.00
_cell_angle_gamma 90.00
_symmetry_space_group_name_H-M 'P 4/m b m'
_symmetry_Int_Tables_number 127
_symmetry_space_group_name_Hall '-P 4 2ab'
loop_
_atom_site_label
_atom_site_fract_x
_atom_site_fract_y
_atom_site_fract_z
_atom_site_occupancy
Ho1 0.167 0.333 0.000 1
Cd1 0.000 0.000 0.500 1
Hg1 0.133 0.633 0.500 1


# HoCdHg | the Alexandria database | GGA-PBE | relaxed
# **Energy relative to the elements**: -18 kJ/mol of atoms
# **V**: 150.9 Å³/cell
# **VASP energy**: -2.12 eV per atom
data_HoCdHg
_cell_length_a 3.602
_cell_length_b 3.602
_cell_length_c 11.628
_cell_angle_alpha 90.00
_cell_angle_beta 90.00
_cell_angle_gamma 90.00
_symmetry_space_group_name_H-M 'P 4/n m m'
_symmetry_Int_Tables_number 129
loop_
_symmetry_equiv_pos_as_xyz
'x,y,z'
'-x,-y,-z'
'-y+1/2,x,z'
'y+1/2,-x,-z'
'-x+1/2,-y+1/2,z'
'x+1/2,y+1/2,-z'
'y,-x+1/2,z'
'-y,x+1/2,-z'
'x+1/2,-y,-z'
'-x+1/2,y,z'
'-y,-x,-z'
'y,x,z'
'-x,y+1/2,-z'
'x,-y+1/2,z'
'y+1/2,x+1/2,-z'
'-y+1/2,-x+1/2,z'
loop_
_atom_site_label
_atom_site_fract_x
_atom_site_fract_y
_atom_site_fract_z
_atom_site_occupancy
Ho1 0.250 0.250 0.106 1
Cd1 0.250 0.250 0.422 1
Hg1 0.250 0.250 0.732 1


# HoCd3Hg2 | the Alexandria database | GGA-PBE | relaxed
# **Energy relative to the elements**: -10 kJ/mol of atoms
# **ΔE to the lowest computed polymorph**: 19.0 meV/atom
# **V**: 590.2 Å³/cell
# **VASP energy**: -1.42 eV per atom
data_HoCd3Hg2
_cell_length_a 8.345
_cell_length_b 9.504
_cell_length_c 7.573
_cell_angle_alpha 90.00
_cell_angle_beta 100.69
_cell_angle_gamma 90.00
_symmetry_space_group_name_H-M 'C 1 2/c 1'
_symmetry_Int_Tables_number 15
loop_
_symmetry_equiv_pos_as_xyz
'x,y,z'
'-x,-y,-z'
'-x,y,-z+1/2'
'x,-y,z+1/2'
'x+1/2,y+1/2,z'
'-x+1/2,-y+1/2,-z'
'-x+1/2,y+1/2,-z+1/2'
'x+1/2,-y+1/2,z+1/2'
loop_
_atom_site_label
_atom_site_fract_x
_atom_site_fract_y
_atom_site_fract_z
_atom_site_occupancy
Ho1 0.000 0.065 0.250 1
Cd1 0.000 0.401 0.250 1
Cd2 0.215 0.403 0.980 1
Hg1 0.125 0.228 0.620 1